This record from Alexandria via LeMat-Bulk describes an optimized crystal structure of K3Np2FeO9. The functional is PBE+U.

a b c (Å): 5.8782 5.8782 7.2233
angles (deg): 90.00 90.00 120.00
Space group P-3m1 (No. 164)
Unique sites:
K (0.0000, 0.0000, 0.0000) (multiplicity 1)
K (0.3333, 0.6667, 0.6613) (multiplicity 2)
Np (0.3333, 0.6667, 0.1792) (multiplicity 2)
Fe (0.0000, 0.0000, 0.5000) (multiplicity 1)
O (0.0000, 0.5000, 0.0000) (multiplicity 3)
O (0.1667, 0.3334, 0.3349) (multiplicity 6)

Values from the calculation:
Final energy ... -7.642 eV/atom